This record from the Alexandria database describes an optimized crystal structure of La2LuGe. The functional is PBE.

a b c (Å): 4.7597 4.7597 4.8870
angles (deg): 90.00 90.00 90.00
Closest atoms and distances in Å follow each position.
Element x y z (fractional)
1 La 0.0000 0.5000 0.0000  4 La 3.37, 4 Ge 3.41, 4 Lu 3.41
2 La 0.5000 0.0000 0.0000  4 La 3.37, 4 Ge 3.41, 4 Lu 3.41
3 Lu 0.0000 0.0000 0.5000  4 Ge 3.37, 8 La 3.41
4 Ge 0.5000 0.5000 0.5000  4 Lu 3.37, 8 La 3.41

Results
Formation energy = -336 meV/atom
Total magnetic moment = 0.0 μB per cell
V = 110.7 Å³/cell
Offset from the most stable computed form = 6 meV/atom

***

This record from the Alexandria database describes an optimized crystal structure of SrAcPtPb. The functional is PBE.

a b c (Å): 5.5672 5.5672 5.5672
angles (deg): 60.00 60.00 60.00
Closest atoms and distances in Å follow each position.
Element x y z (fractional)
1 Sr 0.0000 0.0000 0.0000  4 Pt 3.41, 4 Pb 3.41
2 Ac 0.5000 0.5000 0.5000  4 Pb 3.41, 4 Pt 3.41
3 Pt 0.7500 0.7500 0.7500  4 Ac 3.41, 4 Sr 3.41
4 Pb 0.2500 0.2500 0.2500  4 Ac 3.41, 4 Sr 3.41

Results
Formation energy = -601 meV/atom
Total magnetic moment = 0.0 μB per cell
V = 122.0 Å³/cell

***

This record from the Alexandria database describes an optimized crystal structure of NiPt2Au2. The functional is PBE.

a b c (Å): 7.1824 7.1824 7.1824
angles (deg): 149.95 149.95 43.01
Closest atoms and distances in Å follow each position.
Element x y z (fractional)
1 Ni 0.0000 0.0000 0.0000  8 Pt 2.91
2 Pt 0.4066 0.4066 0.0000  1 Pt 2.50
3 Pt 0.5934 0.5934 0.0000  1 Pt 2.50
4 Au 0.2500 0.7500 0.5000  4 Au 2.63, 4 Pt 2.80
5 Au 0.7500 0.2500 0.5000  4 Au 2.63, 4 Pt 2.80

Results
Formation energy = 562 meV/atom
Total magnetic moment = 1.7 μB per cell
V = 92.7 Å³/cell
Offset from the most stable computed form = 293 meV/atom

***

This record from the Alexandria database describes an optimized crystal structure of RbCoTcSn2. The functional is PBE.

a b c (Å): 5.1717 5.1717 5.0907
angles (deg): 90.00 90.00 90.00
Closest atoms and distances in Å follow each position.
Element x y z (fractional)
1 Rb 0.0000 0.0000 0.0000  8 Sn 3.63, 4 Co 3.66
2 Co 0.5000 0.5000 0.0000  2 Tc 2.55
3 Tc 0.5000 0.5000 0.5000  2 Co 2.55, 4 Sn 2.59
4 Sn 0.0000 0.5000 0.5000  2 Tc 2.59
5 Sn 0.5000 0.0000 0.5000  2 Tc 2.59

Results
Formation energy = 480 meV/atom
Total magnetic moment = 2.6 μB per cell
V = 136.2 Å³/cell

***

This record from the Alexandria database describes an optimized crystal structure of Th2Si3TcNi4. The functional is PBE.

a b c (Å): 4.0288 4.0288 9.9226
angles (deg): 90.00 90.00 90.00
Closest atoms and distances in Å follow each position.
Element x y z (fractional)
1 Th 0.0000 0.5000 0.2432  8 Ni 3.08-3.14, 6 Si 3.10-3.25, 2 Tc 3.25
2 Th 0.5000 0.0000 0.7568  8 Ni 3.08-3.14, 6 Si 3.10-3.25, 2 Tc 3.25
3 Si 0.0000 0.5000 0.8795  5 Ni 2.34-2.39
4 Si 0.5000 0.0000 0.1205  5 Ni 2.34-2.39
5 Si 0.5000 0.5000 0.5000  4 Ni 2.44
6 Tc 0.0000 0.0000 0.5000  4 Ni 2.44
7 Ni 0.0000 0.0000 0.0000  4 Si 2.34
8 Ni 0.0000 0.5000 0.6383  3 Si 2.39-2.44, 2 Tc 2.44
9 Ni 0.5000 0.0000 0.3617  3 Si 2.39-2.44, 2 Tc 2.44
10 Ni 0.5000 0.5000 0.0000  4 Si 2.34

Results
Total magnetic moment = 0.7 μB per cell
E_form (uncorrected) = -0.662 eV per atom
V = 161.1 Å³/cell

***

This record from the Alexandria database describes an optimized crystal structure of SmZn3Rh4. The functional is PBE.

a b c (Å): 7.7966 7.7966 7.7966
angles (deg): 32.97 32.97 32.97
Closest atoms and distances in Å follow each position.
Element x y z (fractional)
1 Sm 0.0000 0.0000 0.0000  8 Rh 2.79-2.86
2 Zn 0.2468 0.2468 0.2468  7 Rh 2.59-2.72
3 Zn 0.5000 0.5000 0.5000  8 Rh 2.57-2.68
4 Zn 0.7532 0.7532 0.7532  7 Rh 2.59-2.72
5 Rh 0.1295 0.1295 0.1295  7 Zn 2.59-2.72, 1 Sm 2.86
6 Rh 0.3838 0.3838 0.3838  4 Zn 2.57-2.68, 3 Sm 2.79
7 Rh 0.6162 0.6162 0.6162  4 Zn 2.57-2.68, 3 Sm 2.79
8 Rh 0.8705 0.8705 0.8705  7 Zn 2.59-2.72, 1 Sm 2.86

Results
Formation energy = -453 meV/atom
Total magnetic moment = 0.0 μB per cell
V = 124.9 Å³/cell

***

Number 1: raw total energy -5.084 eV/atom. Number 2: raw total energy -4.486 eV/atom. Number 3: raw total energy -4.321 eV/atom. Number 4: raw total energy -4.809 eV/atom. Number 5: raw total energy -7.122 eV/atom. Number 6: raw total energy -5.196 eV/atom.